The following is a DFT calculation (PBE) of a relaxed structure of Pm2Nd5Er2.

Results
Space-group type: Ima2, No. 46
ΔE_f (eV per atom): 0.21
Distance to the lowest polymorph of the same formula (eV/atom): 0.194
Total DFT energy (no corrections) (eV/atom): -4.51

Cell: 11.952 6.882 10.192 Å, 109.73 125.90 90.00°
Positions (direct):
Nd: 0.623 0.735 0.714
Nd: 0.806 0.764 0.106
Nd: 0.591 0.235 0.714
Nd: 0.799 0.264 0.106
Nd: 0.007 0.659 0.500
Nd: 0.993 0.159 0.500
Nd: 0.201 0.159 0.894
Nd: 0.377 0.021 0.286
Nd: 0.409 0.521 0.286
Nd: 0.194 0.659 0.894
Er: 0.258 0.350 0.500
Er: 0.000 0.035 0.000
Er: 0.742 0.850 0.500
Er: 0.500 0.535 0.000
Pm: 0.870 0.430 0.747
Pm: 0.130 0.683 0.253
Pm: 0.377 0.930 0.747
Pm: 0.623 0.183 0.253